1.
# Ce4SmS6 | the Alexandria database | PBE-GGA | relaxed
data_Ce4SmS6
_symmetry_space_group_name_H-M 'R -3 c'
_symmetry_Int_Tables_number 167
_symmetry_space_group_name_Hall '-R 3 2"c'
_cell_length_a 11.4314
_cell_length_b 11.4314
_cell_length_c 13.7576
_cell_angle_alpha 90.00
_cell_angle_beta 90.00
_cell_angle_gamma 120.00
loop_
_atom_site_label
_atom_site_type_symbol
_atom_site_fract_x
_atom_site_fract_y
_atom_site_fract_z
_atom_site_occupancy
Ce1 Ce 0.0000 0.0000 0.2500 1
Ce2 Ce 0.0000 0.3799 0.2500 1
Sm1 Sm 0.0000 0.0000 0.0000 1
S1 S 0.0269 0.2038 0.3837 1
# V: 1556.9 Å³/cell
# Formation energy from raw total energies: -1.849 eV per atom

=====

2.
# CeSmS | the Alexandria database | PBE-GGA | relaxed
data_CeSmS
_symmetry_space_group_name_H-M 'P 3 m 1'
_symmetry_Int_Tables_number 156
_cell_length_a 3.8770
_cell_length_b 3.8770
_cell_length_c 6.5380
_cell_angle_alpha 90.00
_cell_angle_beta 90.00
_cell_angle_gamma 120.00
loop_
_symmetry_equiv_pos_as_xyz
'x,y,z'
'-y,x-y,z'
'-x+y,-x,z'
'-y,-x,z'
'-x+y,y,z'
'x,x-y,z'
loop_
_atom_site_label
_atom_site_type_symbol
_atom_site_fract_x
_atom_site_fract_y
_atom_site_fract_z
_atom_site_occupancy
Ce1 Ce 0.0000 0.0000 0.0000 1
Sm1 Sm 0.3333 0.6667 0.4818 1
S1 S 0.6667 0.3333 0.7382 1
# V: 85.1 Å³/cell
# Formation energy from raw total energies: -1.157 eV per atom

=====

3.
# CeSm6S8 | the Alexandria database | PBE-GGA | relaxed
data_CeSm6S8
_symmetry_space_group_name_H-M 'R -3'
_symmetry_Int_Tables_number 148
_symmetry_space_group_name_Hall '-R 3'
_cell_length_a 11.9796
_cell_length_b 11.9796
_cell_length_c 12.0586
_cell_angle_alpha 90.00
_cell_angle_beta 90.00
_cell_angle_gamma 120.00
loop_
_atom_site_label
_atom_site_type_symbol
_atom_site_fract_x
_atom_site_fract_y
_atom_site_fract_z
_atom_site_occupancy
Ce1 Ce 0.0000 0.0000 0.0000 1
Sm1 Sm 0.0092 0.1917 0.6325 1
S1 S 0.0000 0.0000 0.2275 1
S2 S 0.0089 0.2582 0.4129 1
# V: 1498.7 Å³/cell
# Formation energy from raw total energies: -1.642 eV per atom

=====

4.
# CeSm2S5 | the Alexandria database | PBE-GGA | relaxed
data_CeSm2S5
_symmetry_space_group_name_H-M 'P n m a'
_symmetry_Int_Tables_number 62
_cell_length_a 11.9181
_cell_length_b 8.0585
_cell_length_c 7.4891
_cell_angle_alpha 90.00
_cell_angle_beta 90.00
_cell_angle_gamma 90.00
loop_
_symmetry_equiv_pos_as_xyz
'x,y,z'
'-x,-y,-z'
'-x+1/2,-y,z+1/2'
'x+1/2,y,-z+1/2'
'x+1/2,-y+1/2,-z+1/2'
'-x+1/2,y+1/2,z+1/2'
'-x,y+1/2,-z'
'x,-y+1/2,z'
loop_
_atom_site_label
_atom_site_type_symbol
_atom_site_fract_x
_atom_site_fract_y
_atom_site_fract_z
_atom_site_occupancy
Ce1 Ce 0.0094 0.2500 0.0745 1
Sm1 Sm 0.1785 0.5006 0.5171 1
S1 S 0.0009 0.2500 0.4588 1
S2 S 0.0997 0.5436 0.1604 1
S3 S 0.1868 0.2500 0.8258 1
S4 S 0.2162 0.7500 0.7986 1
# V: 719.3 Å³/cell
# Formation energy from raw total energies: -1.970 eV per atom

=====

5.
# CeSmS2 | the Alexandria database | PBE-GGA | relaxed
data_CeSmS2
_symmetry_space_group_name_H-M 'P 63/m m c'
_symmetry_Int_Tables_number 194
_symmetry_space_group_name_Hall '-P 6c 2c'
_cell_length_a 3.9631
_cell_length_b 3.9631
_cell_length_c 13.5953
_cell_angle_alpha 90.00
_cell_angle_beta 90.00
_cell_angle_gamma 120.00
loop_
_atom_site_label
_atom_site_type_symbol
_atom_site_fract_x
_atom_site_fract_y
_atom_site_fract_z
_atom_site_occupancy
Ce1 Ce 0.0000 0.0000 0.0000 1
Sm1 Sm 0.3333 0.6667 0.2500 1
S1 S 0.3333 0.6667 0.6247 1
# V: 184.9 Å³/cell
# Formation energy from raw total energies: -2.007 eV per atom

=====

6.
# CeSm6S8 | the Alexandria database | PBE-GGA | relaxed
data_CeSm6S8
_symmetry_space_group_name_H-M 'F m -3 m'
_symmetry_Int_Tables_number 225
_symmetry_space_group_name_Hall '-F 4 2 3'
_cell_length_a 11.3323
_cell_length_b 11.3323
_cell_length_c 11.3323
_cell_angle_alpha 90.00
_cell_angle_beta 90.00
_cell_angle_gamma 90.00
loop_
_atom_site_label
_atom_site_type_symbol
_atom_site_fract_x
_atom_site_fract_y
_atom_site_fract_z
_atom_site_occupancy
Ce1 Ce 0.0000 0.0000 0.0000 1
Sm1 Sm 0.0000 0.2500 0.2500 1
S1 S 0.0000 0.0000 0.2515 1
S2 S 0.2500 0.2500 0.2500 1
# V: 1455.3 Å³/cell
# Formation energy from raw total energies: -2.029 eV per atom

=====

7.
# Ce3SmS | the Alexandria database | PBE-GGA | relaxed
data_Ce3SmS
_symmetry_space_group_name_H-M 'P m -3 m'
_symmetry_Int_Tables_number 221
_symmetry_space_group_name_Hall '-P 4 2 3'
_cell_length_a 5.3750
_cell_length_b 5.3750
_cell_length_c 5.3750
_cell_angle_alpha 90.00
_cell_angle_beta 90.00
_cell_angle_gamma 90.00
loop_
_atom_site_label
_atom_site_type_symbol
_atom_site_fract_x
_atom_site_fract_y
_atom_site_fract_z
_atom_site_occupancy
Ce1 Ce 0.0000 0.0000 0.5000 1
Sm1 Sm 0.5000 0.5000 0.5000 1
S1 S 0.0000 0.0000 0.0000 1
# V: 155.3 Å³/cell
# Formation energy from raw total energies: -0.558 eV per atom

=====

8.
# Ce5SmS8 | the Alexandria database | PBE-GGA | relaxed
data_Ce5SmS8
_symmetry_space_group_name_H-M 'I -4'
_symmetry_Int_Tables_number 82
_cell_length_a 8.5142
_cell_length_b 8.5142
_cell_length_c 8.5470
_cell_angle_alpha 90.00
_cell_angle_beta 90.00
_cell_angle_gamma 90.00
loop_
_symmetry_equiv_pos_as_xyz
'x,y,z'
'y,-x,-z'
'-x,-y,z'
'-y,x,-z'
'x+1/2,y+1/2,z+1/2'
'y+1/2,-x+1/2,-z+1/2'
'-x+1/2,-y+1/2,z+1/2'
'-y+1/2,x+1/2,-z+1/2'
loop_
_atom_site_label
_atom_site_type_symbol
_atom_site_fract_x
_atom_site_fract_y
_atom_site_fract_z
_atom_site_occupancy
Ce1 Ce 0.0000 0.0000 0.0000 1
Ce2 Ce 0.1252 0.7502 0.3745 1
Sm1 Sm 0.0000 0.5000 0.7500 1
S1 S 0.0747 0.8236 0.7007 1
S2 S 0.0756 0.6742 0.0483 1
# V: 619.6 Å³/cell
# Formation energy from raw total energies: -2.025 eV per atom

=====

9.
# Ce5Sm3S8 | the Alexandria database | PBE-GGA | relaxed
data_Ce5Sm3S8
_symmetry_space_group_name_H-M 'R -3 m'
_symmetry_Int_Tables_number 166
_symmetry_space_group_name_Hall '-R 3 2"'
_cell_length_a 8.0285
_cell_length_b 8.0285
_cell_length_c 19.7110
_cell_angle_alpha 90.00
_cell_angle_beta 90.00
_cell_angle_gamma 120.00
loop_
_atom_site_label
_atom_site_type_symbol
_atom_site_fract_x
_atom_site_fract_y
_atom_site_fract_z
_atom_site_occupancy
Ce1 Ce 0.0000 0.0000 0.0000 1
Ce2 Ce 0.0000 0.0000 0.5000 1
Ce3 Ce 0.0000 0.5000 0.0000 1
Sm1 Sm 0.0000 0.5000 0.5000 1
S1 S 0.0000 0.0000 0.2493 1
S2 S 0.0011 0.5006 0.7506 1
# V: 1100.3 Å³/cell
# Formation energy from raw total energies: -2.043 eV per atom